Material: Na2Sc2VO6
Method: DFT, GGA+U
State: optimized geometry

Properties
- total energy (eV/f.u.) = -81.27
- spin magnetization (μB per cell) = 1.0

Cell and atoms, written as POSCAR:
```
Na2Sc2VO6
1.0
-4.280 -2.203 -2.423
3.243 -3.042 3.045
-2.801 2.754 4.277
Na O Sc V
2 6 2 1
direct
0.165 0.835 0.000
0.835 0.165 0.000
0.053 0.381 0.692
0.758 0.758 0.685
0.619 0.947 0.308
0.947 0.619 0.308
0.381 0.053 0.692
0.242 0.242 0.315
0.668 0.332 0.500
0.332 0.668 0.500
0.000 0.000 0.500
```